# NdSm2Pd | Alexandria | PBE | optimized geometry
data_NdSm2Pd
_symmetry_space_group_name_H-M 'P 1'
_symmetry_Int_Tables_number 1
_symmetry_space_group_name_Hall 'P 1'
_cell_length_a 6.604
_cell_length_b 7.208
_cell_length_c 9.998
_cell_angle_alpha 90.00
_cell_angle_beta 90.00
_cell_angle_gamma 90.00
loop_
_atom_site_label
_atom_site_type_symbol
_atom_site_fract_x
_atom_site_fract_y
_atom_site_fract_z
Nd1 Nd 0.638 0.523 0.250
Nd2 Nd 0.862 0.023 0.250
Nd3 Nd 0.362 0.477 0.750
Nd4 Nd 0.138 0.977 0.750
Sm1 Sm 0.170 0.680 0.060
Sm2 Sm 0.330 0.180 0.440
Sm3 Sm 0.830 0.320 0.560
Sm4 Sm 0.670 0.820 0.940
Sm5 Sm 0.830 0.320 0.940
Sm6 Sm 0.670 0.820 0.560
Sm7 Sm 0.170 0.680 0.440
Sm8 Sm 0.330 0.180 0.060
Pd1 Pd 0.074 0.386 0.250
Pd2 Pd 0.426 0.886 0.250
Pd3 Pd 0.926 0.614 0.750
Pd4 Pd 0.574 0.114 0.750
# * space group: No. 62



# NdSm3Pd | Alexandria | PBE | optimized geometry
data_NdSm3Pd
_symmetry_space_group_name_H-M 'P 1'
_symmetry_Int_Tables_number 1
_symmetry_space_group_name_Hall 'P 1'
_cell_length_a 3.839
_cell_length_b 6.486
_cell_length_c 12.879
_cell_angle_alpha 82.87
_cell_angle_beta 81.43
_cell_angle_gamma 72.78
loop_
_atom_site_label
_atom_site_type_symbol
_atom_site_fract_x
_atom_site_fract_y
_atom_site_fract_z
Nd1 Nd 0.100 0.503 0.298
Nd2 Nd 0.223 0.556 0.998
Sm1 Sm 0.454 0.944 0.147
Sm2 Sm 0.756 0.728 0.761
Sm3 Sm 0.113 0.162 0.613
Sm4 Sm 0.989 0.116 0.907
Sm5 Sm 0.793 0.032 0.382
Sm6 Sm 0.419 0.634 0.529
Pd1 Pd 0.762 0.329 0.146
Pd2 Pd 0.453 0.334 0.760
# * space group: No. 8



| no. | DFT total energy (eV/atom) | ΔH_f (0 K) (eV/atom) | theoretical density (Mg/m³) |
| --- | --- | --- | --- |
| 1 | -5.271 | -0.422 | 7.69 |
| 2 | -5.138 | -0.314 | 7.72 |